Entry 1:
Compound: CeLu2Ag
Source: the Alexandria database
Functional: PBE-GGA
Structure: optimized geometry

**Calculated volume**: 26.30 A^3/atom
**ΔE to the lowest computed polymorph**: 108 meV per atom
**E**: -17.8 eV/cell
**Size of the total moment**: 0.14 μB/atom

Unit cell a=3.431 b=3.431 c=10.509 alpha=80.61 beta=80.61 gamma=60.00
Positions (direct):
1 Lu 0.258 0.258 0.227
2 Ce 0.500 0.500 0.500
3 Lu 0.742 0.742 0.773
4 Ag 0.000 0.000 0.000

---

Entry 2:
Compound: CeLu2Ag
Source: the Alexandria database
Functional: PBE-GGA
Structure: optimized geometry

**Calculated volume**: 24.67 A^3/atom
**ΔE to the lowest computed polymorph**: 239 meV per atom
**E**: -17.3 eV/cell
**Size of the total moment**: 0.00 μB/atom

Unit cell a=5.187 b=5.187 c=5.187 alpha=60.00 beta=60.00 gamma=60.00
Positions (direct):
1 Ce 0.000 0.000 0.000
2 Lu 0.250 0.250 0.250
3 Ag 0.500 0.500 0.500
4 Lu 0.750 0.750 0.750

---

Entry 3:
Compound: CeLuMgAg
Source: the Alexandria database
Functional: PBE-GGA
Structure: optimized geometry

**Calculated volume**: 25.73 A^3/atom
**E**: -15.0 eV/cell
**Size of the total moment**: 0.24 μB/atom

Unit cell a=5.261 b=5.261 c=5.261 alpha=60.00 beta=60.00 gamma=60.00
Positions (direct):
1 Ce 0.500 0.500 0.500
2 Lu 0.000 0.000 0.000
3 Mg 0.250 0.250 0.250
4 Ag 0.750 0.750 0.750

---

Entry 4:
Compound: CeLuMnAg
Source: the Alexandria database
Functional: PBE-GGA
Structure: optimized geometry

**Calculated volume**: 22.63 A^3/atom
**E**: -22.3 eV/cell
**Size of the total moment**: 0.47 μB/atom

Unit cell a=5.040 b=5.040 c=5.040 alpha=60.00 beta=60.00 gamma=60.00
Positions (direct):
1 Mn 0.250 0.250 0.250
2 Ag 0.750 0.750 0.750
3 Ce 0.500 0.500 0.500
4 Lu 0.000 0.000 0.000

---

Entry 5:
Compound: CeNdLuAg
Source: the Alexandria database
Functional: PBE-GGA
Structure: optimized geometry

**Calculated volume**: 26.75 A^3/atom
**E**: -17.5 eV/cell
**Size of the total moment**: 0.72 μB/atom

Unit cell a=5.329 b=5.329 c=5.329 alpha=60.00 beta=60.00 gamma=60.00
Positions (direct):
1 Nd 0.500 0.500 0.500
2 Ag 0.250 0.250 0.250
3 Lu 0.000 0.000 0.000
4 Ce 0.750 0.750 0.750

---

Entry 6:
Compound: CeLuAgPd
Source: the Alexandria database
Functional: PBE-GGA
Structure: optimized geometry

**Calculated volume**: 23.02 A^3/atom
**E**: -20.4 eV/cell
**Size of the total moment**: 0.20 μB/atom

Unit cell a=5.069 b=5.069 c=5.069 alpha=60.00 beta=60.00 gamma=60.00
Positions (direct):
1 Ag 0.250 0.250 0.250
2 Ce 0.500 0.500 0.500
3 Lu 0.000 0.000 0.000
4 Pd 0.750 0.750 0.750